# 1
Density functional theory data (PBE) for a relaxed structure of Sm6NiHg5.

```
12
Lattice="8.3188 -3.7723 0.0000 8.3188 3.7723 0.0000 -1.6663 0.0000 5.0169" Properties=species:S:1:pos:R:3 pbc="T T T"
Sm 5.1361 1.9916 1.7196
Sm 8.3188 2.0485 0.0000
Sm 9.8352 1.9916 3.2973
Sm 5.1361 -1.9916 1.7196
Sm 8.3188 -2.0485 0.0000
Sm 9.8352 -1.9916 3.2973
Ni -0.8332 0.0000 2.5084
Hg 2.7135 0.0000 0.9123
Hg 4.1534 0.0000 4.1783
Hg 7.4856 0.0000 2.5084
Hg 10.8179 0.0000 0.8385
Hg 12.2578 0.0000 4.1046
```

energy	-3.393	eV/atom
size of the total moment	0.0	μB per cell



# 2
Density functional theory data (PBE) for a relaxed structure of Sm4NiHg.

```
12
Lattice="7.0677 0.0000 0.0000 0.0000 7.3624 0.0000 -0.7133 0.0000 7.0281" Properties=species:S:1:pos:R:3 pbc="T T T"
Sm 0.9171 1.2438 1.3392
Sm 0.5604 2.4374 4.8532
Sm 2.2068 4.7611 0.7654
Sm 1.8502 6.2826 4.2794
Sm 4.5042 1.0798 2.7487
Sm 4.1475 2.6014 6.2627
Sm 5.7939 4.9250 2.1749
Sm 5.4373 6.1186 5.6889
Ni -0.3567 0.0000 3.5140
Ni 0.0000 3.6812 0.0000
Hg 3.5338 0.0000 0.0000
Hg 3.1772 3.6812 3.5140
```

relative energy among the computed polymorphs	166.4	meV/atom
energy	-4.303	eV/atom
size of the total moment	0.0	μB per cell



# 3
Density functional theory data (PBE) for a relaxed structure of Sm4Ni2Hg5.

```
11
Lattice="7.6757 0.0000 0.0000 0.0000 3.6826 0.0000 -0.5411 0.0000 9.4651" Properties=species:S:1:pos:R:3 pbc="T T T"
Sm 1.1811 0.0000 3.2532
Sm 1.2132 0.0000 8.8463
Sm 5.9214 0.0000 0.6188
Sm 5.9535 0.0000 6.2119
Ni 0.4446 1.8413 1.1926
Ni 6.6900 1.8413 8.2725
Hg 0.9153 1.8413 6.1036
Hg 3.3058 1.8413 1.5990
Hg 3.5673 1.8413 4.7325
Hg 3.8288 1.8413 7.8661
Hg 6.2193 1.8413 3.3615
```

energy	-3.331	eV/atom
size of the total moment	0.0	μB per cell



# 4
Density functional theory data (PBE) for a relaxed structure of Sm2NiHg.

```
4
Lattice="2.0192 1.1658 7.6328 -2.0192 1.1658 7.6328 0.0000 -2.3316 7.6328" Properties=species:S:1:pos:R:3 pbc="T T T"
Sm 0.0000 0.0000 0.0000
Sm 0.0000 0.0000 4.5974
Ni 0.0000 0.0000 13.7141
Hg 0.0000 0.0000 9.9386
```

relative energy among the computed polymorphs	83.1	meV/atom
energy	-4.176	eV/atom
size of the total moment	0.0	μB per cell



# 5
Density functional theory data (PBE) for a relaxed structure of Sm2NiHg.

```
4
Lattice="3.5412 0.0000 0.0000 0.0000 3.5412 0.0000 0.0000 0.0000 7.6282" Properties=species:S:1:pos:R:3 pbc="T T T"
Sm 0.0000 0.0000 1.6588
Sm 0.0000 0.0000 5.9694
Ni 1.7706 1.7706 0.0000
Hg 1.7706 1.7706 3.8141
```

relative energy among the computed polymorphs	0.0	meV/atom
energy	-4.259	eV/atom
size of the total moment	0.0	μB per cell



# 6
Density functional theory data (PBE) for a relaxed structure of Sm2NiHg3.

```
6
Lattice="3.5724 0.0000 0.0000 0.0000 4.7718 0.0000 0.0000 0.0000 8.4117" Properties=species:S:1:pos:R:3 pbc="T T T"
Sm 0.0000 0.0000 0.0000
Sm 0.0000 2.3859 3.6670
Ni 1.7862 0.0000 2.3431
Hg 1.7862 0.0000 5.0300
Hg 1.7862 2.3859 1.1367
Hg 1.7862 2.3859 6.6492
```

energy	-3.061	eV/atom
size of the total moment	0.0	μB per cell